Entry from the Alexandria database: BaYPt2 after structural relaxation (PBE).

ΔE_f: -562 meV/atom
space-group type: I-42d (122)
offset from the most stable computed form: 152 kJ/mol of formula units
spin magnetization: 0.0 Bohr magnetons per cell

Cell and atoms, written as POSCAR:
```
BaYPt2
1.0
-4.169 -4.523 -4.923
3.054 -6.449 3.340
-3.425 -5.554 1.700
Pt Ba Y
4 2 2
direct
0.583 0.125 0.250
0.375 0.417 0.750
0.167 0.625 0.250
0.875 0.833 0.750
0.750 0.250 0.500
0.000 0.000 0.000
0.250 0.750 0.500
0.500 0.500 0.000
```